P) Compound: NaSr2Hg2
Source: Alexandria via LeMat-Bulk
Functional: PBE
Structure: optimized geometry

- space-group type = P4/mbm (127)

Cell lengths 9.4747, 9.4747, 3.8916 Å; angles 90.00, 90.00, 90.00 degrees
Atoms (fractional coordinates):
Na (0.0000, 0.0000, 0.0000)
Na (0.5000, 0.5000, 0.0000)
Sr (0.1438, 0.3562, 0.0000)
Sr (0.3562, 0.8562, 0.0000)
Sr (0.6438, 0.1438, 0.0000)
Sr (0.8562, 0.6438, 0.0000)
Hg (0.1517, 0.6517, 0.5000)
Hg (0.3483, 0.1517, 0.5000)
Hg (0.6517, 0.8483, 0.5000)
Hg (0.8483, 0.3483, 0.5000)

=====

Q) Compound: NaSr2Hg2
Source: Alexandria via LeMat-Bulk
Functional: PBE
Structure: optimized geometry

- space-group type = P4/mbm (127)

Cell lengths 8.8254, 8.8254, 4.4344 Å; angles 90.00, 90.00, 90.00 degrees
Atoms (fractional coordinates):
Na (0.0000, 0.0000, 0.0000)
Na (0.5000, 0.5000, 0.0000)
Sr (0.1622, 0.3378, 0.5000)
Sr (0.3378, 0.8378, 0.5000)
Sr (0.6622, 0.1622, 0.5000)
Sr (0.8378, 0.6622, 0.5000)
Hg (0.1348, 0.6348, 0.0000)
Hg (0.3652, 0.1348, 0.0000)
Hg (0.6348, 0.8652, 0.0000)
Hg (0.8652, 0.3652, 0.0000)

=====

What should be chosen as the most stable of them? Choose Q).

=====

P) Compound: NaSr2Hg2
Source: Alexandria via LeMat-Bulk
Functional: PBE
Structure: optimized geometry

- space-group type = I4/mmm (139)

Cell lengths 4.5427, 4.5427, 18.8323 Å; angles 90.00, 90.00, 90.00 degrees
Atoms (fractional coordinates):
Na (0.0000, 0.0000, 0.0000)
Na (0.5000, 0.5000, 0.5000)
Sr (0.0000, 0.0000, 0.3823)
Sr (0.0000, 0.0000, 0.6177)
Sr (0.5000, 0.5000, 0.1177)
Sr (0.5000, 0.5000, 0.8823)
Hg (0.0000, 0.5000, 0.2500)
Hg (0.0000, 0.5000, 0.7500)
Hg (0.5000, 0.0000, 0.2500)
Hg (0.5000, 0.0000, 0.7500)

=====

Q) Compound: NaSr2Hg2
Source: Alexandria via LeMat-Bulk
Functional: PBE
Structure: optimized geometry

- space-group type = I4/mmm (139)

Cell lengths 6.3793, 6.3793, 9.1885 Å; angles 90.00, 90.00, 90.00 degrees
Atoms (fractional coordinates):
Na (0.0000, 0.0000, 0.0000)
Na (0.5000, 0.5000, 0.5000)
Sr (0.0000, 0.5000, 0.2500)
Sr (0.0000, 0.5000, 0.7500)
Sr (0.5000, 0.0000, 0.2500)
Sr (0.5000, 0.0000, 0.7500)
Hg (0.0000, 0.0000, 0.3457)
Hg (0.0000, 0.0000, 0.6543)
Hg (0.5000, 0.5000, 0.1543)
Hg (0.5000, 0.5000, 0.8457)

=====

What should be chosen as the most stable of them? Choose Q).

=====

P) Compound: Na2SrHg6
Source: Alexandria via LeMat-Bulk
Functional: PBE
Structure: optimized geometry

- space-group type = C2/m (12)

Cell lengths 9.0075, 9.0075, 3.6910 Å; angles 101.15, 101.15, 58.12 degrees
Atoms (fractional coordinates):
Na (0.1447, 0.1447, 0.1327)
Na (0.8553, 0.8553, 0.8673)
Sr (0.5000, 0.5000, 0.0000)
Hg (0.1475, 0.5000, 0.3302)
Hg (0.1691, 0.8309, 0.5000)
Hg (0.5000, 0.1475, 0.3302)
Hg (0.5000, 0.8525, 0.6698)
Hg (0.8309, 0.1691, 0.5000)
Hg (0.8525, 0.5000, 0.6698)

=====

Q) Compound: Na2SrHg6
Source: Alexandria via LeMat-Bulk
Functional: PBE
Structure: optimized geometry

- space-group type = P6/mmm (191)

Cell lengths 8.8987, 8.8987, 3.5938 Å; angles 90.00, 90.00, 120.00 degrees
Atoms (fractional coordinates):
Na (0.3333, 0.6667, 0.0000)
Na (0.6667, 0.3333, 0.0000)
Sr (0.0000, 0.0000, 0.0000)
Hg (0.0000, 0.3366, 0.5000)
Hg (0.0000, 0.6634, 0.5000)
Hg (0.3366, 0.0000, 0.5000)
Hg (0.3366, 0.3366, 0.5000)
Hg (0.6634, 0.0000, 0.5000)
Hg (0.6634, 0.6634, 0.5000)

=====

What should be chosen as the most stable of them? Choose Q).

=====

P) Compound: Na2Sr8Hg
Source: Alexandria via LeMat-Bulk
Functional: PBE
Structure: optimized geometry

- space-group type = C2/m (12)

Cell lengths 10.8157, 10.8157, 7.9680 Å; angles 96.99, 96.99, 33.85 degrees
Atoms (fractional coordinates):
Na (0.1628, 0.1628, 0.1649)
Na (0.8372, 0.8372, 0.8351)
Sr (0.0261, 0.0261, 0.7708)
Sr (0.2134, 0.2134, 0.6307)
Sr (0.3453, 0.3453, 0.0871)
Sr (0.4135, 0.4135, 0.6048)
Sr (0.5865, 0.5865, 0.3952)
Sr (0.6547, 0.6547, 0.9129)
Sr (0.7866, 0.7866, 0.3693)
Sr (0.9739, 0.9739, 0.2292)
Hg (0.5000, 0.5000, 0.0000)

=====

Q) Compound: Na2Sr8Hg
Source: Alexandria via LeMat-Bulk
Functional: PBE
Structure: optimized geometry

- space-group type = C2/m (12)

Cell lengths 11.1547, 11.1547, 8.1257 Å; angles 107.54, 107.54, 32.83 degrees
Atoms (fractional coordinates):
Na (0.1822, 0.1822, 0.2260)
Na (0.8178, 0.8178, 0.7740)
Sr (0.0182, 0.0182, 0.2843)
Sr (0.2020, 0.2020, 0.7950)
Sr (0.3528, 0.3528, 0.5388)
Sr (0.4095, 0.4095, 0.0752)
Sr (0.5905, 0.5905, 0.9248)
Sr (0.6472, 0.6472, 0.4612)
Sr (0.7980, 0.7980, 0.2050)
Sr (0.9818, 0.9818, 0.7157)
Hg (0.5000, 0.5000, 0.5000)

=====

What should be chosen as the most stable of them? Choose P).

=====

P) Compound: NaSr2Hg4
Source: Alexandria via LeMat-Bulk
Functional: PBE
Structure: optimized geometry

- space-group type = I4/mmm (139)

Cell lengths 5.4288, 5.4288, 16.8408 Å; angles 90.00, 90.00, 90.00 degrees
Atoms (fractional coordinates):
Na (0.0000, 0.0000, 0.0000)
Na (0.5000, 0.5000, 0.5000)
Sr (0.0000, 0.0000, 0.3743)
Sr (0.0000, 0.0000, 0.6257)
Sr (0.5000, 0.5000, 0.1257)
Sr (0.5000, 0.5000, 0.8743)
Hg (0.0000, 0.0000, 0.1779)
Hg (0.0000, 0.0000, 0.8221)
Hg (0.0000, 0.5000, 0.0000)
Hg (0.0000, 0.5000, 0.5000)
Hg (0.5000, 0.0000, 0.0000)
Hg (0.5000, 0.0000, 0.5000)
Hg (0.5000, 0.5000, 0.3221)
Hg (0.5000, 0.5000, 0.6779)

=====

Q) Compound: NaSr2Hg4
Source: Alexandria via LeMat-Bulk
Functional: PBE
Structure: optimized geometry

- space-group type = R-3m (166)

Cell lengths 9.0856, 9.0856, 9.0856 Å; angles 35.63, 35.63, 35.63 degrees
Atoms (fractional coordinates):
Na (0.0000, 0.0000, 0.0000)
Sr (0.2490, 0.2490, 0.2490)
Sr (0.7510, 0.7510, 0.7510)
Hg (0.1205, 0.1205, 0.1205)
Hg (0.3818, 0.3818, 0.3818)
Hg (0.6182, 0.6182, 0.6182)
Hg (0.8795, 0.8795, 0.8795)

=====

What should be chosen as the most stable of them? Choose Q).

=====

P) Compound: NaTaHg
Source: Alexandria via LeMat-Bulk
Functional: PBE
Structure: optimized geometry

- space-group type = P-6m2 (187)

Cell lengths 5.0442, 5.0442, 2.9155 Å; angles 90.00, 90.00, 120.00 degrees
Atoms (fractional coordinates):
Na (0.0000, 0.0000, 0.0000)
Ta (0.6667, 0.3333, 0.5000)
Hg (0.3333, 0.6667, 0.5000)

=====

Q) Compound: NaTaHg
Source: Alexandria via LeMat-Bulk
Functional: PBE
Structure: optimized geometry

- space-group type = F-43m (216)

Cell lengths 6.5657, 6.5657, 6.5657 Å; angles 90.00, 90.00, 90.00 degrees
Atoms (fractional coordinates):
Na (0.0000, 0.0000, 0.0000)
Na (0.0000, 0.5000, 0.5000)
Na (0.5000, 0.0000, 0.5000)
Na (0.5000, 0.5000, 0.0000)
Ta (0.0000, 0.0000, 0.5000)
Ta (0.0000, 0.5000, 0.0000)
Ta (0.5000, 0.0000, 0.0000)
Ta (0.5000, 0.5000, 0.5000)
Hg (0.2500, 0.2500, 0.2500)
Hg (0.2500, 0.7500, 0.7500)
Hg (0.7500, 0.2500, 0.7500)
Hg (0.7500, 0.7500, 0.2500)

=====

R) Compound: NaTaHg
Source: Alexandria via LeMat-Bulk
Functional: PBE
Structure: optimized geometry

- space-group type = Cm (8)

Cell lengths 4.8012, 3.5495, 15.3776 Å; angles 90.00, 90.15, 90.00 degrees
Atoms (fractional coordinates):
Na (0.0000, 0.0000, 0.0000)
Na (0.0011, 0.0000, 0.6503)
Na (0.5000, 0.5000, 0.0000)
Na (0.5011, 0.5000, 0.6503)
Ta (0.4957, 0.5000, 0.3282)
Ta (0.4969, 0.0000, 0.4640)
Ta (0.9957, 0.0000, 0.3282)
Ta (0.9969, 0.5000, 0.4640)
Hg (0.0091, 0.5000, 0.8259)
Hg (0.4962, 0.0000, 0.1688)
Hg (0.5091, 0.0000, 0.8259)
Hg (0.9962, 0.5000, 0.1688)

=====

S) Compound: NaTaHg
Source: Alexandria via LeMat-Bulk
Functional: PBE
Structure: optimized geometry

- space-group type = P-6m2 (187)

Cell lengths 5.0107, 5.0107, 6.2915 Å; angles 90.00, 90.00, 120.00 degrees
Atoms (fractional coordinates):
Na (0.0000, 0.0000, 0.0000)
Na (0.0000, 0.0000, 0.5000)
Ta (0.3333, 0.6667, 0.1975)
Ta (0.3333, 0.6667, 0.8025)
Hg (0.6667, 0.3333, 0.2414)
Hg (0.6667, 0.3333, 0.7586)

=====

What should be chosen as the most stable of them? Choose R).

=====

P) Compound: NaTaHg
Source: Alexandria via LeMat-Bulk
Functional: PBE
Structure: optimized geometry

- space-group type = Pmmn (59)

Cell lengths 3.0656, 3.7549, 12.0685 Å; angles 90.00, 90.00, 90.00 degrees
Atoms (fractional coordinates):
Na (0.2500, 0.2500, 0.1211)
Na (0.7500, 0.7500, 0.8789)
Ta (0.2500, 0.2500, 0.4366)
Ta (0.7500, 0.7500, 0.5634)
Hg (0.2500, 0.2500, 0.7116)
Hg (0.7500, 0.7500, 0.2884)

=====

Q) Compound: NaTaHg
Source: Alexandria via LeMat-Bulk
Functional: PBE
Structure: optimized geometry

- space-group type = Pnma (62)

Cell lengths 8.3109, 2.9458, 10.5706 Å; angles 90.00, 90.00, 90.00 degrees
Atoms (fractional coordinates):
Na (0.1568, 0.2500, 0.0832)
Na (0.3432, 0.7500, 0.5832)
Na (0.6568, 0.2500, 0.4168)
Na (0.8432, 0.7500, 0.9168)
Ta (0.0513, 0.2500, 0.3980)
Ta (0.4487, 0.7500, 0.8980)
Ta (0.5513, 0.2500, 0.1020)
Ta (0.9487, 0.7500, 0.6020)
Hg (0.1573, 0.2500, 0.7925)
Hg (0.3427, 0.7500, 0.2925)
Hg (0.6573, 0.2500, 0.7075)
Hg (0.8427, 0.7500, 0.2075)

=====

What should be chosen as the most stable of them? Choose P).

=====

P) Compound: NaTaHg
Source: Alexandria via LeMat-Bulk
Functional: PBE
Structure: optimized geometry

- space-group type = Pm (6)

Cell lengths 2.9745, 2.9825, 14.8792 Å; angles 90.00, 91.71, 90.00 degrees
Atoms (fractional coordinates):
Na (0.0000, 0.0000, 0.0000)
Na (0.0553, 0.0000, 0.3454)
Ta (0.1061, 0.0000, 0.6697)
Ta (0.4813, 0.5000, 0.8070)
Hg (0.5282, 0.5000, 0.1722)
Hg (0.5755, 0.5000, 0.5116)

=====

Q) Compound: NaTaHg
Source: Alexandria via LeMat-Bulk
Functional: PBE
Structure: optimized geometry

- space-group type = P6_3/mmc (194)

Cell lengths 4.6876, 4.6876, 11.0248 Å; angles 90.00, 90.00, 120.00 degrees
Atoms (fractional coordinates):
Na (0.3333, 0.6667, 0.2500)
Na (0.6667, 0.3333, 0.7500)
Ta (0.0000, 0.0000, 0.0000)
Ta (0.0000, 0.0000, 0.5000)
Hg (0.0000, 0.0000, 0.2500)
Hg (0.0000, 0.0000, 0.7500)

=====

What should be chosen as the most stable of them? Choose P).

=====

P) Compound: NaTaHg
Source: Alexandria via LeMat-Bulk
Functional: PBE
Structure: optimized geometry

- space-group type = P-1 (2)

Cell lengths 3.0104, 3.0193, 14.6782 Å; angles 89.95, 88.58, 89.99 degrees
Atoms (fractional coordinates):
Na (0.2335, 0.2519, 0.1097)
Na (0.7665, 0.7481, 0.8903)
Ta (0.1863, 0.2503, 0.4304)
Ta (0.8137, 0.7497, 0.5696)
Hg (0.2837, 0.2490, 0.7247)
Hg (0.7163, 0.7510, 0.2753)

=====

Q) Compound: NaTaHg
Source: Alexandria via LeMat-Bulk
Functional: PBE
Structure: optimized geometry

- space-group type = P1 (1)

Cell lengths 3.0433, 5.4545, 8.6576 Å; angles 78.95, 79.97, 73.81 degrees
Atoms (fractional coordinates):
Na (0.0000, 0.0000, 0.0000)
Na (0.3152, 0.5356, 0.8391)
Ta (0.9996, 0.5137, 0.4917)
Ta (0.6419, 0.4791, 0.2378)
Hg (0.3439, 0.9968, 0.3173)
Hg (0.6626, 0.0302, 0.6483)

=====

What should be chosen as the most stable of them? Choose P).

=====

P) Compound: NaTaHg
Source: Alexandria via LeMat-Bulk
Functional: PBE
Structure: optimized geometry

- space-group type = Pm (6)

Cell lengths 4.6894, 3.1701, 9.1482 Å; angles 90.00, 104.79, 90.00 degrees
Atoms (fractional coordinates):
Na (0.0000, 0.0000, 0.0000)
Na (0.3833, 0.0000, 0.7650)
Ta (0.1889, 0.5000, 0.3849)
Ta (0.6856, 0.0000, 0.3801)
Hg (0.5523, 0.5000, 0.1055)
Hg (0.8289, 0.5000, 0.6562)

=====

Q) Compound: NaTaHg
Source: Alexandria via LeMat-Bulk
Functional: PBE
Structure: optimized geometry

- space-group type = C2/m (12)

Cell lengths 4.7091, 3.6513, 15.3050 Å; angles 90.00, 90.15, 90.00 degrees
Atoms (fractional coordinates):
Na (0.2449, 0.0000, 0.1048)
Na (0.2551, 0.5000, 0.8952)
Na (0.7449, 0.5000, 0.1048)
Na (0.7551, 0.0000, 0.8952)
Ta (0.2498, 0.0000, 0.4311)
Ta (0.2502, 0.5000, 0.5689)
Ta (0.7502, 0.0000, 0.5689)
Ta (0.7498, 0.5000, 0.4311)
Hg (0.2469, 0.5000, 0.2737)
Hg (0.2531, 0.0000, 0.7263)
Hg (0.7469, 0.0000, 0.2737)
Hg (0.7531, 0.5000, 0.7263)

=====

What should be chosen as the most stable of them? Choose Q).

=====

P) Compound: NaTaHg
Source: Alexandria via LeMat-Bulk
Functional: PBE
Structure: optimized geometry

- space-group type = P-1 (2)

Cell lengths 2.9404, 5.6930, 8.7053 Å; angles 72.78, 89.88, 75.09 degrees
Atoms (fractional coordinates):
Na (0.1543, 0.1890, 0.1219)
Na (0.8457, 0.8110, 0.8781)
Ta (0.1471, 0.2061, 0.5084)
Ta (0.8529, 0.7939, 0.4916)
Hg (0.4465, 0.6114, 0.2428)
Hg (0.5535, 0.3886, 0.7572)

=====

Q) Compound: NaTaHg
Source: Alexandria via LeMat-Bulk
Functional: PBE
Structure: optimized geometry

- space-group type = P4/nmm (129)

Cell lengths 3.7893, 3.7893, 11.0856 Å; angles 90.00, 90.00, 90.00 degrees
Atoms (fractional coordinates):
Na (0.2500, 0.2500, 0.2483)
Na (0.7500, 0.7500, 0.7517)
Ta (0.2500, 0.2500, 0.9603)
Ta (0.7500, 0.7500, 0.0397)
Hg (0.2500, 0.7500, 0.5000)
Hg (0.7500, 0.2500, 0.5000)

=====

What should be chosen as the most stable of them? Choose P).

=====

P) Compound: NaTaHg
Source: Alexandria via LeMat-Bulk
Functional: PBE
Structure: optimized geometry

- space-group type = P6_3/mmc (194)

Cell lengths 4.9217, 4.9217, 5.8407 Å; angles 90.00, 90.00, 120.00 degrees
Atoms (fractional coordinates):
Na (0.0000, 0.0000, 0.0000)
Na (0.0000, 0.0000, 0.5000)
Ta (0.3333, 0.6667, 0.2500)
Ta (0.6667, 0.3333, 0.7500)
Hg (0.3333, 0.6667, 0.7500)
Hg (0.6667, 0.3333, 0.2500)

=====

Q) Compound: NaTaHg
Source: Alexandria via LeMat-Bulk
Functional: PBE
Structure: optimized geometry

- space-group type = Pnma (62)

Cell lengths 11.7967, 5.3145, 5.2402 Å; angles 90.00, 90.00, 90.00 degrees
Atoms (fractional coordinates):
Na (0.2495, 0.2500, 0.2429)
Na (0.2505, 0.7500, 0.7429)
Na (0.7495, 0.2500, 0.2571)
Na (0.7505, 0.7500, 0.7571)
Ta (0.0004, 0.2500, 0.5061)
Ta (0.9996, 0.7500, 0.4939)
Ta (0.5004, 0.2500, 0.9939)
Ta (0.4996, 0.7500, 0.0061)
Hg (0.0000, 0.0000, 0.0000)
Hg (0.0000, 0.5000, 0.0000)
Hg (0.5000, 0.0000, 0.5000)
Hg (0.5000, 0.5000, 0.5000)

=====

What should be chosen as the most stable of them? Choose Q).